No. 1
The following is a PBE calculation of KMnCu2 after structural relaxation, from the Alexandria database.

a = 4.074 Å, b = 4.074 Å, c = 9.109 Å
α = 90.00°, β = 90.00°, γ = 90.00°
Space group I-4m2 (No. 119)
Symmetry-distinct sites (fractional):
K 0.000 0.000 0.000 x2
Mn 0.000 0.500 0.750 x2
Cu 0.000 0.000 0.500 x2
Cu 0.000 0.500 0.250 x2

Values from the calculation:
Crystal system   tetragonal
ΔH_f (0 K)   0.866 eV/atom

=====

No. 2
The following is a PBE calculation of Mg2AsOs after structural relaxation, from the Alexandria database.

a = 2.9834 Å, b = 2.9834 Å, c = 26.4696 Å
α = 90.00°, β = 90.00°, γ = 120.00°
Space group R-3m (No. 166, hexagonal axes)
Symmetry-distinct sites (fractional):
Mg 0.0000 0.0000 0.2466 x6
As 0.0000 0.0000 0.0000 x3
Os 0.0000 0.0000 0.5000 x3

Values from the calculation:
Crystal system   trigonal
ΔH_f (0 K)   0.115 eV/atom

=====

No. 3
The following is a PBE calculation of CaBPd3 after structural relaxation, from the Alexandria database.

a = 3.6057 Å, b = 3.6057 Å, c = 16.6544 Å
α = 90.00°, β = 90.00°, γ = 120.00°
Space group P6_3/mmc (No. 194)
Symmetry-distinct sites (fractional):
Ca 0.0000 0.0000 0.0000 x2
B 0.3333 0.6667 0.2500 x2
Pd 0.0000 0.0000 0.2500 x2
Pd 0.3333 0.6667 0.1266 x4

Values from the calculation:
Crystal system   hexagonal
ΔH_f (0 K)   -0.024 eV/atom

=====

No. 4
The following is a PBE calculation of Ge2NF after structural relaxation, from the Alexandria database.

a = 6.202 Å, b = 6.202 Å, c = 5.972 Å
α = 90.00°, β = 90.00°, γ = 90.00°
Space group I-42d (No. 122)
Symmetry-distinct sites (fractional):
Ge 0.188 0.750 0.125 x8
N 0.000 0.000 0.000 x4
F 0.000 0.000 0.500 x4

Values from the calculation:
Crystal system   tetragonal
DFT total energy   -5.07 eV/atom

=====

No. 5
The following is a PBE calculation of AsCl4 after structural relaxation, from the Alexandria database.

a = 6.228 Å, b = 6.228 Å, c = 6.228 Å
α = 90.00°, β = 90.00°, γ = 90.00°
Space group Im-3m (No. 229)
Symmetry-distinct sites (fractional):
As 0.000 0.000 0.000 x2
Cl 0.250 0.250 0.250 x8

Values from the calculation:
Crystal system   cubic
DFT total energy   -2.35 eV/atom

=====

No. 6
The following is a PBE calculation of NaGa2 after structural relaxation, from the Alexandria database.

a = 4.435 Å, b = 7.283 Å, c = 7.864 Å
α = 90.00°, β = 90.00°, γ = 90.00°
Space group Imma (No. 74)
Symmetry-distinct sites (fractional):
Na 0.000 0.250 0.062 x4
Ga 0.000 0.062 0.661 x8

Values from the calculation:
Crystal system   orthorhombic
ΔH_f (0 K)   -0.159 eV/atom

=====

Number 1: DOS(E_F) 3.694 states/eV per cell. Number 2: DOS(E_F) 5.315 states/eV per cell. Number 3: DOS(E_F) 3.181 states/eV per cell. Number 4: DOS(E_F) 1.233 states/eV per cell. Number 5: DOS(E_F) 7.942 states/eV per cell. Number 6: DOS(E_F) 4.764 states/eV per cell.